No. 1
DFT (PBE) results for an optimized crystal structure of AlIrCl2.

Cell: 7.792 7.792 7.792 Å, 156.21 150.22 38.47°
Element x y z (fractional)
Al  0.000  0.000  0.000
Ir  0.500  0.500  0.000
Cl  0.361  0.861  0.500
Cl  0.639  0.139  0.500

Calculated values
- Crystal system: orthorhombic
- Formation energy without anion corrections: -0.088 eV per atom
- Size of the total moment: 0.85 Bohr magnetons per cell

No. 2
DFT (PBE) results for an optimized crystal structure of Ta4OsC2.

Cell: 5.710 5.710 11.397 Å, 90.00 90.00 147.88°
Element x y z (fractional)
Ta  0.000  0.000  0.000
Ta  0.000  0.000  0.500
Ta  0.267  0.733  0.607
Ta  0.267  0.733  0.893
Ta  0.415  0.585  0.250
Ta  0.585  0.415  0.750
Ta  0.733  0.267  0.107
Ta  0.733  0.267  0.393
Os  0.103  0.897  0.250
Os  0.897  0.103  0.750
C  0.366  0.634  0.060
C  0.366  0.634  0.440
C  0.634  0.366  0.560
C  0.634  0.366  0.940

Calculated values
- Crystal system: orthorhombic
- Calculated total energy: -11.480 eV per atom
- Size of the total moment: 0.00 Bohr magnetons per cell